Record 1
This record from the Alexandria database describes a relaxed structure of CrNi12Rh6. The functional is PBE.

As for the total energy: -0.466 Ry per atom. The space-group type is R-3, No. 148. As for the density of states at the Fermi level: 30.6 states/eV per cell.

abc: 6.2142 6.2142 6.2142
angles: 92.30 92.30 92.30
With the nearest neighbours (Å) after each atom.
Fractional coordinates of all 19 atoms:
Cr (0.0000, 0.0000, 0.0000)  6 Ni 2.44, 6 Rh 2.53
Ni (0.0555, 0.1440, 0.3697)  4 Ni 2.39-2.55, 1 Cr 2.44, 5 Rh 2.56-2.65
Ni (0.1440, 0.3697, 0.0555)  4 Ni 2.39-2.55, 1 Cr 2.44, 5 Rh 2.56-2.65
Ni (0.2118, 0.4662, 0.5450)  3 Ni 2.39-2.46, 4 Rh 2.48-2.67
Ni (0.3697, 0.0555, 0.1440)  4 Ni 2.39-2.55, 1 Cr 2.44, 5 Rh 2.56-2.65
Ni (0.4550, 0.7881, 0.5338)  3 Ni 2.39-2.46, 4 Rh 2.48-2.67
Ni (0.4662, 0.5450, 0.2119)  3 Ni 2.39-2.46, 4 Rh 2.48-2.67
Ni (0.5338, 0.4549, 0.7882)  3 Ni 2.39-2.46, 4 Rh 2.48-2.67
Ni (0.5451, 0.2118, 0.4662)  3 Ni 2.39-2.46, 4 Rh 2.48-2.67
Ni (0.6303, 0.9445, 0.8560)  4 Ni 2.39-2.55, 1 Cr 2.44, 5 Rh 2.56-2.65
Ni (0.7881, 0.5338, 0.4549)  3 Ni 2.39-2.46, 4 Rh 2.48-2.67
Ni (0.8560, 0.6303, 0.9445)  4 Ni 2.39-2.55, 1 Cr 2.44, 5 Rh 2.56-2.65
Ni (0.9445, 0.8560, 0.6303)  4 Ni 2.39-2.55, 1 Cr 2.44, 5 Rh 2.56-2.65
Rh (0.1190, 0.7397, 0.2798)  9 Ni 2.48-2.67, 1 Cr 2.53, 2 Rh 2.66
Rh (0.2603, 0.7202, 0.8810)  9 Ni 2.48-2.67, 1 Cr 2.53, 2 Rh 2.66
Rh (0.2798, 0.1190, 0.7397)  9 Ni 2.48-2.67, 1 Cr 2.53, 2 Rh 2.66
Rh (0.7202, 0.8810, 0.2603)  9 Ni 2.48-2.67, 1 Cr 2.53, 2 Rh 2.66
Rh (0.7397, 0.2798, 0.1190)  9 Ni 2.48-2.67, 1 Cr 2.53, 2 Rh 2.66
Rh (0.8810, 0.2603, 0.7202)  9 Ni 2.48-2.67, 1 Cr 2.53, 2 Rh 2.66


Record 2
This record from the Alexandria database describes a relaxed structure of In2HgAs2. The functional is PBE.

As for the total energy: -0.218 Ry per atom. The space-group type is I4/mmm, No. 139. As for the density of states at the Fermi level: 1.3 states/eV per cell.

abc: 6.8528 6.8528 6.8528
angles: 139.10 139.10 59.22
With the nearest neighbours (Å) after each atom.
Fractional coordinates of all 5 atoms:
In (0.2500, 0.7500, 0.5000)  4 As 2.83
In (0.7500, 0.2500, 0.5000)  4 As 2.83
Hg (0.0000, 0.0000, 0.0000)  8 As 3.69, 8 In 3.82
As (0.3772, 0.3772, 0.0000)  4 In 2.83, 1 As 2.93
As (0.6228, 0.6228, 0.0000)  4 In 2.83, 1 As 2.93


Record 3
This record from the Alexandria database describes a relaxed structure of EuGdTl. The functional is PBE.

As for the total energy: -0.661 Ry per atom. The space-group type is F-43m, No. 216. As for the density of states at the Fermi level: 8.3 states/eV per cell.

abc: 5.3734 5.3734 5.3734
angles: 60.00 60.00 60.00
With the nearest neighbours (Å) after each atom.
Fractional coordinates of all 3 atoms:
Eu (0.0000, 0.0000, 0.0000)  4 Tl 3.29
Gd (0.5000, 0.5000, 0.5000)  4 Tl 3.29
Tl (0.7500, 0.7500, 0.7500)  4 Gd 3.29, 4 Eu 3.29


Record 4
This record from the Alexandria database describes a relaxed structure of NaPdI. The functional is PBE.

The calculation puts the formation energy from raw total energies at -0.4864 eV/atom. As for the total energy: -0.233 Ry per atom. The space-group type is P1, No. 1. As for the density of states at the Fermi level: 0.0 states/eV per cell.

abc: 4.5584 4.9661 8.4698
angles: 75.28 75.96 68.54
With the nearest neighbours (Å) after each atom.
Fractional coordinates of all 6 atoms:
Na (0.0000, 0.0000, 0.0000)  3 Pd 3.07-3.26, 4 I 3.20-3.32
Na (0.0196, 0.4726, 0.4554)  4 Pd 3.05-3.36, 4 I 3.12-3.30
Pd (0.2014, 0.8462, 0.6518)  2 I 2.65-2.69, 2 Pd 2.86-2.95
Pd (0.5351, 0.2298, 0.7249)  2 I 2.64-2.74, 2 Pd 2.86-2.95
I (0.3972, 0.9242, 0.2845)  1 Pd 2.99, 5 Na 3.14-3.30
I (0.7075, 0.6498, 0.8005)  4 Pd 2.64-2.74


Record 5
This record from the Alexandria database describes a relaxed structure of Cr2CoRu. The functional is PBE.

As for the total energy: -0.641 Ry per atom. The space-group type is P4/mmm, No. 123. As for the density of states at the Fermi level: 5.0 states/eV per cell.

abc: 4.1526 4.1526 2.9025
angles: 90.00 90.00 90.00
With the nearest neighbours (Å) after each atom.
Fractional coordinates of all 4 atoms:
Cr (0.0000, 0.5000, 0.0000)  4 Ru 2.53, 4 Co 2.53
Cr (0.5000, 0.0000, 0.0000)  4 Ru 2.53, 4 Co 2.53
Co (0.0000, 0.0000, 0.5000)  8 Cr 2.53
Ru (0.5000, 0.5000, 0.5000)  8 Cr 2.53


Record 6
This record from the Alexandria database describes a relaxed structure of BaSeCl. The functional is PBE.

The calculation puts the formation energy from raw total energies at -1.9618 eV/atom. As for the total energy: -0.322 Ry per atom. The space-group type is Immm, No. 71.

abc: 8.5685 8.5685 8.5685
angles: 148.49 139.84 51.92
With the nearest neighbours (Å) after each atom.
Fractional coordinates of all 6 atoms:
Ba (0.1397, 0.1397, 0.0000)  4 Cl 3.16-3.20, 4 Se 3.39
Ba (0.8603, 0.8603, 0.0000)  4 Cl 3.16-3.20, 4 Se 3.39
Se (0.2065, 0.5000, 0.7065)  1 Se 2.43
Se (0.7935, 0.5000, 0.2935)  1 Se 2.43
Cl (0.2783, 0.7783, 0.5000)  4 Ba 3.16-3.20
Cl (0.7217, 0.2217, 0.5000)  4 Ba 3.16-3.20


Record 7
This record from the Alexandria database describes a relaxed structure of Mg2Tl2Zn. The functional is PBE.

As for the total energy: -0.134 Ry per atom. The space-group type is R-3m, No. 166. As for the density of states at the Fermi level: 1.4 states/eV per cell.

abc: 12.5139 12.5139 12.5139
angles: 15.50 15.50 15.50
With the nearest neighbours (Å) after each atom.
Fractional coordinates of all 5 atoms:
Mg (0.1108, 0.1108, 0.1108)  3 Zn 2.84
Mg (0.8892, 0.8892, 0.8892)  3 Zn 2.84
Tl (0.3732, 0.3732, 0.3732)  3 Mg 3.28, 9 Tl 3.37-3.54
Tl (0.6268, 0.6268, 0.6268)  3 Mg 3.28, 9 Tl 3.37-3.54
Zn (0.5000, 0.5000, 0.5000)  6 Mg 2.84


Record 8
This record from the Alexandria database describes a relaxed structure of Zr2NiN. The functional is PBE.

The calculation puts the formation energy from raw total energies at -0.6078 eV/atom. As for the total energy: -0.618 Ry per atom. The space-group type is I-42d, No. 122. As for the density of states at the Fermi level: 12.6 states/eV per cell.

abc: 5.6687 5.6687 5.6687
angles: 115.47 115.47 98.05
With the nearest neighbours (Å) after each atom.
Fractional coordinates of all 8 atoms:
Zr (0.0705, 0.6250, 0.9455)  2 N 2.13
Zr (0.3750, 0.3205, 0.4455)  2 N 2.13
Zr (0.6795, 0.1250, 0.0545)  2 N 2.13
Zr (0.8750, 0.9295, 0.5545)  2 N 2.13
Ni (0.2500, 0.7500, 0.5000)  4 Zr 2.56
Ni (0.5000, 0.5000, 0.0000)  4 Zr 2.56
N (0.0000, 0.0000, 0.0000)  4 Zr 2.13
N (0.7500, 0.2500, 0.5000)  4 Zr 2.13


Record 9
This record from the Alexandria database describes a relaxed structure of Rb2BIrI6. The functional is PBE.

The calculation puts the formation energy from raw total energies at -0.2863 eV/atom. As for the total energy: -0.218 Ry per atom. The space-group type is I4/mmm, No. 139. As for the density of states at the Fermi level: 0.0 states/eV per cell.

abc: 8.0674 8.0674 8.0674
angles: 112.68 112.68 103.23
With the nearest neighbours (Å) after each atom.
Fractional coordinates of all 10 atoms:
Rb (0.2500, 0.7500, 0.5000)  12 I 4.06-4.49
Rb (0.7500, 0.2500, 0.5000)  12 I 4.06-4.49
B (0.0000, 0.0000, 0.0000)  2 I 2.12
Ir (0.5000, 0.5000, 0.0000)  6 I 2.69-2.89
I (0.2114, 0.2114, 0.0000)  1 B 2.12
I (0.2872, 0.2872, 0.5744)  1 Ir 2.69
I (0.2872, 0.7128, 0.0000)  1 Ir 2.69
I (0.7128, 0.2872, 0.0000)  1 Ir 2.69
I (0.7128, 0.7128, 0.4256)  1 Ir 2.69
I (0.7886, 0.7886, 0.0000)  1 B 2.12


Record 10
This record from the Alexandria database describes a relaxed structure of Na3CaPb. The functional is PBE.

As for the total energy: -0.131 Ry per atom. The space-group type is Pm-3m, No. 221. As for the density of states at the Fermi level: 2.6 states/eV per cell.

abc: 5.9085 5.9085 5.9085
angles: 90.00 90.00 90.00
With the nearest neighbours (Å) after each atom.
Fractional coordinates of all 5 atoms:
Na (0.0000, 0.0000, 0.5000)  2 Pb 2.95
Na (0.0000, 0.5000, 0.0000)  2 Pb 2.95
Na (0.5000, 0.0000, 0.0000)  2 Pb 2.95
Ca (0.5000, 0.5000, 0.5000)  12 Na 4.18
Pb (0.0000, 0.0000, 0.0000)  6 Na 2.95


Record 11
This record from the Alexandria database describes a relaxed structure of CaPtSe. The functional is PBE.

The calculation puts the formation energy from raw total energies at -0.6150 eV/atom. As for the total energy: -0.328 Ry per atom. The space-group type is Fmm2, No. 42. As for the density of states at the Fermi level: 2.3 states/eV per cell.

abc: 5.7268 5.3400 3.8981
angles: 74.80 64.14 41.06
With the nearest neighbours (Å) after each atom.
Fractional coordinates of all 3 atoms:
Ca (0.0000, 0.0000, 0.0000)  3 Pt 2.87-3.03, 3 Se 2.87-3.03
Pt (0.7015, 0.7015, 0.2985)  2 Se 2.52
Se (0.2986, 0.2986, 0.7014)  2 Pt 2.52


Record 12
This record from the Alexandria database describes a relaxed structure of Tb3ErHg7. The functional is PBE.

As for the total energy: -0.153 Ry per atom. The space-group type is Cmcm, No. 63. As for the density of states at the Fermi level: 22.9 states/eV per cell.

abc: 15.6734 15.6734 12.6981
angles: 90.00 90.00 166.75
With the nearest neighbours (Å) after each atom.
Fractional coordinates of all 22 atoms:
Tb (0.0693, 0.9307, 0.5470)  8 Hg 3.16-3.30
Tb (0.0693, 0.9307, 0.9530)  8 Hg 3.16-3.30
Tb (0.1889, 0.8111, 0.2500)  8 Hg 3.12-3.23
Tb (0.8111, 0.1889, 0.7500)  8 Hg 3.12-3.23
Tb (0.9307, 0.0693, 0.0470)  8 Hg 3.16-3.30
Tb (0.9307, 0.0693, 0.4530)  8 Hg 3.16-3.30
Er (0.0705, 0.9295, 0.2500)  8 Hg 3.09-3.15
Er (0.9295, 0.0705, 0.7500)  8 Hg 3.09-3.15
Hg (0.2698, 0.7302, 0.5777)  3 Hg 2.95-3.21, 2 Tb 3.12
Hg (0.2698, 0.7302, 0.9223)  3 Hg 2.95-3.21, 2 Tb 3.12
Hg (0.3724, 0.6276, 0.6027)  2 Er 3.15, 4 Tb 3.19-3.23, 1 Hg 3.21
Hg (0.3724, 0.6276, 0.8973)  2 Er 3.15, 4 Tb 3.19-3.23, 1 Hg 3.21
Hg (0.4218, 0.5782, 0.2500)  4 Tb 3.16, 2 Hg 3.26
Hg (0.4887, 0.5113, 0.6172)  3 Hg 3.06-3.37, 2 Er 3.09, 4 Tb 3.22-3.30
Hg (0.4887, 0.5113, 0.8828)  3 Hg 3.06-3.37, 2 Er 3.09, 4 Tb 3.22-3.30
Hg (0.5113, 0.4887, 0.1172)  3 Hg 3.06-3.37, 2 Er 3.09, 4 Tb 3.22-3.30
Hg (0.5113, 0.4887, 0.3828)  3 Hg 3.06-3.37, 2 Er 3.09, 4 Tb 3.22-3.30
Hg (0.5782, 0.4218, 0.7500)  4 Tb 3.16, 2 Hg 3.26
Hg (0.6276, 0.3724, 0.1027)  2 Er 3.15, 4 Tb 3.19-3.23, 1 Hg 3.21
Hg (0.6276, 0.3724, 0.3973)  2 Er 3.15, 4 Tb 3.19-3.23, 1 Hg 3.21
Hg (0.7302, 0.2698, 0.0777)  3 Hg 2.95-3.21, 2 Tb 3.12
Hg (0.7302, 0.2698, 0.4223)  3 Hg 2.95-3.21, 2 Tb 3.12